Compound: PmNbClO4
Source: the Alexandria database
Functional: PBE-GGA
Structure: optimized geometry

Total moment, μB/f.u.: 1.0
Formation energy (no corrections), eV/atom: -2.443

Cell: 6.743 6.743 7.039 Å, 101.30 101.30 65.61°
Positions (direct):
Pm: 0.249 0.249 0.382
Pm: 0.751 0.751 0.618
Nb: 0.130 0.130 0.773
Nb: 0.870 0.870 0.227
Cl: 0.487 0.487 0.678
Cl: 0.513 0.513 0.322
O: 0.003 0.384 0.647
O: 0.040 0.040 0.284
O: 0.191 0.191 0.043
O: 0.384 0.003 0.647
O: 0.616 0.997 0.353
O: 0.809 0.809 0.957
O: 0.960 0.960 0.716
O: 0.997 0.616 0.353

=====

Compound: Pr3NbCl2O6
Source: the Alexandria database
Functional: PBE-GGA
Structure: optimized geometry

Total moment, μB/f.u.: 0.0
Formation energy (no corrections), eV/atom: -2.588

Cell: 6.888 6.888 5.694 Å, 98.38 98.38 59.23°
Positions (direct):
Pr: 0.000 0.000 0.000
Pr: 0.000 0.500 0.500
Pr: 0.500 0.000 0.500
Nb: 0.500 0.500 0.500
Cl: 0.212 0.212 0.865
Cl: 0.788 0.788 0.135
O: 0.212 0.675 0.699
O: 0.325 0.788 0.301
O: 0.339 0.339 0.331
O: 0.661 0.661 0.669
O: 0.675 0.212 0.699
O: 0.788 0.325 0.301

=====

Compound: Pr3NbCl6O4
Source: the Alexandria database
Functional: PBE-GGA
Structure: optimized geometry

Total moment, μB/f.u.: 0.0
Formation energy (no corrections), eV/atom: -2.600

Cell: 12.935 12.935 3.997 Å, 90.00 90.00 120.00°
Positions (direct):
Pr: 0.116 0.722 0.250
Pr: 0.278 0.394 0.250
Pr: 0.394 0.116 0.750
Pr: 0.606 0.884 0.250
Pr: 0.722 0.606 0.750
Pr: 0.884 0.278 0.750
Nb: 0.333 0.667 0.750
Nb: 0.667 0.333 0.250
Cl: 0.068 0.440 0.250
Cl: 0.101 0.246 0.750
Cl: 0.146 0.899 0.750
Cl: 0.246 0.146 0.250
Cl: 0.372 0.932 0.250
Cl: 0.440 0.372 0.750
Cl: 0.560 0.628 0.250
Cl: 0.628 0.068 0.750
Cl: 0.754 0.854 0.750
Cl: 0.854 0.101 0.250
Cl: 0.899 0.754 0.250
Cl: 0.932 0.560 0.750
O: 0.201 0.695 0.750
O: 0.305 0.507 0.750
O: 0.333 0.667 0.250
O: 0.493 0.799 0.750
O: 0.507 0.201 0.250
O: 0.667 0.333 0.750
O: 0.695 0.493 0.250
O: 0.799 0.305 0.250

=====

Compound: Pr3NbCl3O6
Source: the Alexandria database
Functional: PBE-GGA
Structure: optimized geometry

Total moment, μB/f.u.: 0.9
Formation energy (no corrections), eV/atom: -2.741

Cell: 9.556 9.556 5.353 Å, 90.00 90.00 120.00°
Positions (direct):
Pr: 0.091 0.403 0.250
Pr: 0.312 0.909 0.250
Pr: 0.403 0.312 0.750
Pr: 0.597 0.688 0.250
Pr: 0.688 0.091 0.750
Pr: 0.909 0.597 0.750
Nb: 0.333 0.667 0.750
Nb: 0.667 0.333 0.250
Cl: 0.051 0.241 0.750
Cl: 0.189 0.949 0.750
Cl: 0.241 0.189 0.250
Cl: 0.759 0.811 0.750
Cl: 0.811 0.051 0.250
Cl: 0.949 0.759 0.250
O: 0.157 0.636 0.512
O: 0.157 0.636 0.988
O: 0.364 0.521 0.512
O: 0.364 0.521 0.988
O: 0.479 0.843 0.512
O: 0.479 0.843 0.988
O: 0.521 0.157 0.012
O: 0.521 0.157 0.488
O: 0.636 0.479 0.012
O: 0.636 0.479 0.488
O: 0.843 0.364 0.012
O: 0.843 0.364 0.488

=====

Compound: PuNbClO4
Source: the Alexandria database
Functional: PBE-GGA
Structure: optimized geometry

Total moment, μB/f.u.: 4.0
Formation energy (no corrections), eV/atom: -2.507

Cell: 6.408 6.408 7.141 Å, 106.82 106.82 70.62°
Positions (direct):
Pu: 0.224 0.224 0.165
Pu: 0.776 0.776 0.835
Nb: 0.373 0.373 0.764
Nb: 0.627 0.627 0.236
Cl: 0.017 0.017 0.777
Cl: 0.983 0.983 0.223
O: 0.077 0.502 0.819
O: 0.324 0.324 0.487
O: 0.434 0.434 0.137
O: 0.498 0.923 0.181
O: 0.502 0.077 0.819
O: 0.566 0.566 0.863
O: 0.676 0.676 0.513
O: 0.923 0.498 0.181

=====

Compound: Rb2Nb3Cl7O5
Source: the Alexandria database
Functional: PBE-GGA
Structure: optimized geometry

Total moment, μB/f.u.: 0.0
Formation energy (no corrections), eV/atom: -2.011

Cell: 9.770 9.770 11.320 Å, 108.47 108.47 55.09°
Positions (direct):
Rb: 0.160 0.241 0.355
Rb: 0.241 0.160 0.855
Rb: 0.759 0.840 0.145
Rb: 0.840 0.759 0.645
Nb: 0.210 0.786 0.027
Nb: 0.214 0.790 0.473
Nb: 0.465 0.535 0.750
Nb: 0.535 0.465 0.250
Nb: 0.786 0.210 0.527
Nb: 0.790 0.214 0.973
Cl: 0.058 0.638 0.959
Cl: 0.061 0.641 0.377
Cl: 0.089 0.911 0.250
Cl: 0.282 0.423 0.669
Cl: 0.359 0.939 0.123
Cl: 0.362 0.942 0.541
Cl: 0.423 0.282 0.169
Cl: 0.577 0.718 0.831
Cl: 0.638 0.058 0.459
Cl: 0.641 0.061 0.877
Cl: 0.718 0.577 0.331
Cl: 0.911 0.089 0.750
Cl: 0.939 0.359 0.623
Cl: 0.942 0.362 0.041
O: 0.000 0.000 0.000
O: 0.000 0.000 0.500
O: 0.288 0.710 0.879
O: 0.290 0.712 0.621
O: 0.396 0.603 0.127
O: 0.397 0.604 0.373
O: 0.603 0.396 0.627
O: 0.604 0.397 0.873
O: 0.710 0.288 0.379
O: 0.712 0.290 0.121

=====

Compound: Rb2NbCl5O
Source: the Alexandria database
Functional: PBE-GGA
Structure: optimized geometry

Total moment, μB/f.u.: 0.0
Formation energy (no corrections), eV/atom: -1.795

Cell: 7.300 7.300 7.300 Å, 121.83 121.83 86.85°
Positions (direct):
Rb: 0.000 0.500 0.500
Rb: 0.500 0.000 0.500
Nb: 0.232 0.232 0.000
Cl: 0.012 0.012 0.517
Cl: 0.012 0.495 0.000
Cl: 0.483 0.483 0.000
Cl: 0.495 0.012 0.000
Cl: 0.495 0.495 0.483
O: 0.066 0.066 0.000

=====

Compound: Nb2S4Cl9O5
Source: the Alexandria database
Functional: PBE-GGA
Structure: optimized geometry

Total moment, μB/f.u.: 6.3
Formation energy (no corrections), eV/atom: -0.373

Cell: 11.158 11.158 11.158 Å, 140.22 139.23 58.28°
Positions (direct):
Nb: 0.108 0.108 0.000
Nb: 0.892 0.892 0.000
S: 0.128 0.178 0.306
S: 0.128 0.822 0.950
S: 0.872 0.178 0.050
S: 0.872 0.822 0.694
Cl: 0.149 0.856 0.293
Cl: 0.161 0.438 0.277
Cl: 0.161 0.884 0.723
Cl: 0.437 0.144 0.293
Cl: 0.500 0.500 0.000
Cl: 0.563 0.856 0.707
Cl: 0.839 0.116 0.277
Cl: 0.839 0.562 0.723
Cl: 0.851 0.144 0.707
O: 0.249 0.328 0.921
O: 0.407 0.328 0.079
O: 0.500 0.000 0.500
O: 0.593 0.672 0.921
O: 0.751 0.672 0.079

=====

Compound: NbSCl2O
Source: the Alexandria database
Functional: PBE-GGA
Structure: optimized geometry

Total moment, μB/f.u.: 0.0
Formation energy (no corrections), eV/atom: 0.775

Cell: 4.295 4.295 4.378 Å, 90.00 90.00 90.00°
Positions (direct):
Nb: 0.000 0.000 0.000
S: 0.500 0.500 0.000
Cl: 0.000 0.500 0.500
Cl: 0.500 0.000 0.500
O: 0.500 0.500 0.500

=====

Compound: NbSCl2O
Source: the Alexandria database
Functional: PBE-GGA
Structure: optimized geometry

Total moment, μB/f.u.: 0.2
Formation energy (no corrections), eV/atom: -0.009

Cell: 4.890 4.890 4.716 Å, 90.00 90.00 90.00°
Positions (direct):
Nb: 0.000 0.000 0.000
S: 0.000 0.000 0.500
Cl: 0.000 0.500 0.000
Cl: 0.500 0.000 0.000
O: 0.500 0.500 0.500

=====

Compound: NbS2ClO8
Source: the Alexandria database
Functional: PBE-GGA
Structure: optimized geometry

Total moment, μB/f.u.: 0.1
Formation energy (no corrections), eV/atom: -1.274

Cell: 5.599 5.599 6.101 Å, 90.00 90.00 120.00°
Positions (direct):
Nb: 0.000 0.000 0.000
S: 0.333 0.667 0.757
S: 0.667 0.333 0.243
Cl: 0.000 0.000 0.500
O: 0.191 0.382 0.856
O: 0.191 0.809 0.856
O: 0.333 0.667 0.525
O: 0.382 0.191 0.144
O: 0.618 0.809 0.856
O: 0.667 0.333 0.475
O: 0.809 0.191 0.144
O: 0.809 0.618 0.144

=====

Compound: SmNb6Cl13O3
Source: the Alexandria database
Functional: PBE-GGA
Structure: optimized geometry

Total moment, μB/f.u.: 0.0
Formation energy (no corrections), eV/atom: -1.688

Cell: 28.021 28.021 28.021 Å, 160.33 160.33 27.96°
Positions (direct):
Sm: 0.094 0.094 0.000
Sm: 0.656 0.156 0.500
Sm: 0.844 0.344 0.500
Sm: 0.906 0.906 0.000
Nb: 0.007 0.305 0.935
Nb: 0.030 0.321 0.528
Nb: 0.055 0.620 0.798
Nb: 0.071 0.042 0.790
Nb: 0.102 0.383 0.551
Nb: 0.133 0.082 0.781
Nb: 0.252 0.280 0.210
Nb: 0.301 0.352 0.219
Nb: 0.370 0.072 0.065
Nb: 0.380 0.945 0.202
Nb: 0.449 0.168 0.551
Nb: 0.498 0.208 0.528
Nb: 0.617 0.898 0.449
Nb: 0.648 0.699 0.781
Nb: 0.679 0.970 0.472
Nb: 0.695 0.993 0.065
Nb: 0.720 0.748 0.790
Nb: 0.743 0.178 0.798
Nb: 0.792 0.502 0.472
Nb: 0.822 0.257 0.202
Nb: 0.832 0.551 0.449
Nb: 0.918 0.867 0.219
Nb: 0.928 0.630 0.935
Nb: 0.958 0.929 0.210
Cl: 0.003 0.503 0.500
Cl: 0.048 0.444 0.179
Cl: 0.052 0.388 0.803
Cl: 0.063 0.937 0.500
Cl: 0.074 0.662 0.175
Cl: 0.102 0.513 0.175
Cl: 0.112 0.008 0.497
Cl: 0.113 0.125 0.488
Cl: 0.131 0.735 0.179
Cl: 0.138 0.835 0.836
Cl: 0.165 0.862 0.164
Cl: 0.194 0.515 0.896
Cl: 0.221 0.041 0.205
Cl: 0.239 0.242 0.604
Cl: 0.253 0.253 0.000
Cl: 0.263 0.588 0.912
Cl: 0.265 0.869 0.821
Cl: 0.313 0.313 0.626
Cl: 0.338 0.926 0.825
Cl: 0.365 0.362 0.604
Cl: 0.375 0.363 0.488
Cl: 0.385 0.489 0.497
Cl: 0.412 0.737 0.088
Cl: 0.437 0.563 0.500
Cl: 0.485 0.806 0.104
Cl: 0.487 0.898 0.825
Cl: 0.497 0.997 0.500
Cl: 0.511 0.615 0.503
Cl: 0.529 0.234 0.320
Cl: 0.556 0.952 0.821
Cl: 0.585 0.248 0.197
Cl: 0.612 0.948 0.197
Cl: 0.619 0.298 0.104
Cl: 0.637 0.625 0.512
Cl: 0.638 0.635 0.396
Cl: 0.648 0.324 0.912
Cl: 0.676 0.352 0.088
Cl: 0.687 0.687 0.374
Cl: 0.698 0.002 0.836
Cl: 0.702 0.381 0.896
Cl: 0.747 0.747 0.000
Cl: 0.752 0.415 0.803
Cl: 0.758 0.761 0.396
Cl: 0.766 0.471 0.680
Cl: 0.791 0.087 0.320
Cl: 0.837 0.016 0.795
Cl: 0.875 0.887 0.512
Cl: 0.913 0.209 0.680
Cl: 0.959 0.779 0.795
Cl: 0.984 0.163 0.205
Cl: 0.992 0.888 0.503
Cl: 0.998 0.302 0.164
O: 0.135 0.135 0.000
O: 0.321 0.095 0.242
O: 0.429 0.172 0.275
O: 0.615 0.115 0.500
O: 0.828 0.571 0.725
O: 0.845 0.103 0.275
O: 0.853 0.078 0.758
O: 0.865 0.865 0.000
O: 0.885 0.385 0.500
O: 0.897 0.155 0.725
O: 0.905 0.679 0.758
O: 0.922 0.147 0.242